The following is a PBE calculation of a geometry-optimized SrTeSe2 structure, from the Alexandria database.

Cell lengths 4.3662, 4.3662, 26.6488 Å; angles 90.00, 90.00, 120.00 degrees
Space group R-3m (No. 166, hexagonal axes)
Symmetry-distinct sites (fractional):
Sr  0.0000  0.0000  0.0000 (multiplicity 3)
Te  0.0000  0.0000  0.5000 (multiplicity 3)
Se  0.0000  0.0000  0.4004 (multiplicity 6)

Computed properties:
Total magnetization   0.00 μB per formula unit
Energy relative to the elements, uncorrected   -712 meV/atom
E_tot   -3.66 eV per atom
Density   4.225 g/cm3



The following is a PBE calculation of a geometry-optimized KMnTc structure, from the Alexandria database.

Cell lengths 6.523, 6.523, 6.523 Å; angles 90.00, 90.00, 90.00 degrees
Space group F-43m (No. 216)
Symmetry-distinct sites (fractional):
K  0.000  0.000  0.000 (multiplicity 4)
Mn  0.000  0.000  0.500 (multiplicity 4)
Tc  0.250  0.250  0.250 (multiplicity 4)

Computed properties:
Total magnetization   2.37 μB per formula unit
Energy of formation   1.776 eV per atom
Excess energy over the best structure of this formula in the dataset   1213.7 meV per atom
E_tot   -5.10 eV per atom
Density   4.595 g/cm3